# 1
Mg5Mo: relaxed, PBE.

Density   2.967 g cm⁻³
Electronic total energy   -17.7 eV per formula unit

Lattice parameters (Å, degrees): 2.9357 2.9357 14.1239 90.00 90.00 90.00
Closest atoms and distances in Å follow each position.
Space group P4/mmm (No. 123)
One atom of each set of equivalent atoms:
Mg1 0.0000 0.0000 0.0000 x1  12 Mg 2.94-3.20
Mg2 0.0000 0.0000 0.3508 x2  8 Mg 2.94-3.27, 4 Mo 2.96
Mg3 0.5000 0.5000 0.1722 x2  12 Mg 2.94-3.27
Mo1 0.5000 0.5000 0.5000 x1  4 Mo 2.94, 8 Mg 2.96

=====

# 2
Mg5Mo: relaxed, PBE.

Density   2.969 g cm⁻³
Electronic total energy   -17.4 eV per formula unit

Lattice parameters (Å, degrees): 4.9617 3.0002 16.3408 90.00 90.00 90.00
Closest atoms and distances in Å follow each position.
Space group Amm2 (No. 38)
One atom of each set of equivalent atoms:
Mg1 0.0000 0.0000 0.0000 x2  2 Mo 2.96, 8 Mg 3.00-3.13
Mg2 0.0000 0.0000 0.3108 x2  2 Mo 2.94, 8 Mg 3.00-3.14
Mg3 0.5000 0.0000 0.1028 x2  8 Mg 2.89-3.22, 4 Mo 3.03
Mg4 0.5000 0.0000 0.4284 x2  12 Mg 3.00-3.22
Mg5 0.5000 0.0000 0.7543 x2  10 Mg 2.89-3.22, 2 Mo 2.95
Mo1 0.0000 0.0000 0.6564 x2  10 Mg 2.94-3.03, 2 Mo 3.00

=====

# 3
MgMo: relaxed, PBE.

Density   5.789 g cm⁻³
Electronic total energy   -11.6 eV per formula unit

Lattice parameters (Å, degrees): 2.8572 2.8572 4.8786 90.00 90.00 120.00
Closest atoms and distances in Å follow each position.
Space group P-6m2 (No. 187)
One atom of each set of equivalent atoms:
Mg1 0.0000 0.0000 0.0000 x1  6 Mg 2.86, 6 Mo 2.94
Mo1 0.6667 0.3333 0.5000 x1  6 Mo 2.86, 6 Mg 2.94

=====

# 4
MgMo: relaxed, PBE.

Density   5.369 g cm⁻³
Electronic total energy   -9.6 eV per formula unit

Lattice parameters (Å, degrees): 5.2987 5.2987 5.2987 90.00 90.00 90.00
Closest atoms and distances in Å follow each position.
Space group Fm-3m (No. 225)
One atom of each set of equivalent atoms:
Mg1 0.0000 0.0000 0.0000 x4  6 Mo 2.65
Mo1 0.0000 0.0000 0.5000 x4  6 Mg 2.65

=====

# 5
MgMo: relaxed, PBE.

Density   2.349 g cm⁻³
Electronic total energy   -7.2 eV per formula unit

Lattice parameters (Å, degrees): 7.9892 7.9892 7.9892 90.00 90.00 90.00
Closest atoms and distances in Å follow each position.
Space group Pm-3n (No. 223)
One atom of each set of equivalent atoms:
Mg1 0.0000 0.2500 0.5000 x6  4 Mo 2.82
Mo1 0.0000 0.5000 0.2500 x6  4 Mg 2.82

=====

# 6
MgMo3: relaxed, PBE.

Density   7.782 g cm⁻³
Electronic total energy   -32.4 eV per formula unit

Lattice parameters (Å, degrees): 2.7998 2.7998 9.8105 90.00 90.00 120.00
Closest atoms and distances in Å follow each position.
Space group P-6m2 (No. 187)
One atom of each set of equivalent atoms:
Mg1 0.0000 0.0000 0.0000 x1  6 Mg 2.80, 6 Mo 2.99
Mo1 0.0000 0.0000 0.5000 x1  12 Mo 2.80-2.89
Mo2 0.6667 0.3333 0.2559 x2  9 Mo 2.80-2.89, 3 Mg 2.99

=====

# 7
MgMo: relaxed, PBE.

Density   5.770 g cm⁻³
Electronic total energy   -10.8 eV per formula unit

Lattice parameters (Å, degrees): 5.1728 5.1728 5.1728 90.00 90.00 90.00
Closest atoms and distances in Å follow each position.
Space group P2_13 (No. 198)
One atom of each set of equivalent atoms:
Mg1 0.0975 0.4025 0.5975 x4  7 Mo 2.69-2.81
Mo1 0.1023 0.8977 0.3977 x4  7 Mg 2.69-2.81

=====

# 8
MgMo: relaxed, PBE.

Density   5.777 g cm⁻³
Electronic total energy   -11.5 eV per formula unit

Lattice parameters (Å, degrees): 2.8551 2.8551 9.7912 90.00 90.00 120.00
Closest atoms and distances in Å follow each position.
Space group P6_3/mmc (No. 194)
One atom of each set of equivalent atoms:
Mg1 0.0000 0.0000 0.0000 x2  6 Mg 2.86, 6 Mo 2.95
Mo1 0.3333 0.6667 0.2500 x2  6 Mo 2.86, 6 Mg 2.95